# La2SO2 PBE relaxed
# Final energy (eV per atom): -7.866
# ΔE_f (raw) (eV per atom): -3.087
# V (Å³/atom): 20.64
# Crystal system: monoclinic
data_La2SO2
_chemical_formula_sum 'La8 S4 O8'
_symmetry_space_group_name_H-M 'C 1 2/c 1'
_symmetry_Int_Tables_number 15
_cell_length_a 9.8876
_cell_length_b 7.9584
_cell_length_c 7.0933
_cell_angle_alpha 90.00
_cell_angle_beta 132.32
_cell_angle_gamma 90.00
loop_
_symmetry_equiv_pos_as_xyz
'x,y,z'
'-x,-y,-z'
'-x,y,-z+1/2'
'x,-y,z+1/2'
'x+1/2,y+1/2,z'
'-x+1/2,-y+1/2,-z'
'-x+1/2,y+1/2,-z+1/2'
'x+1/2,-y+1/2,z+1/2'
loop_
_atom_site_label
_atom_site_fract_x
_atom_site_fract_y
_atom_site_fract_z
La1 0.1923 0.1355 0.2320
S1 0.0000 0.3697 0.7500
O1 0.1373 0.1235 0.5192